Entry 1:
# BaTa4Tc, relaxed, DFT PBE-GGA
# * formation energy from the elements: 877 meV per atom
# * N(E_F): 5.93 states/eV/f.u.
data_BaTa4Tc
_space_group_name_H-M_alt 'P 1'
_space_group_IT_number 1
_cell_length_a 5.624
_cell_length_b 5.624
_cell_length_c 5.624
_cell_angle_alpha 60.00
_cell_angle_beta 60.00
_cell_angle_gamma 60.00
loop_
_space_group_symop_operation_xyz
'x,y,z'
loop_
_atom_site_label
_atom_site_fract_x
_atom_site_fract_y
_atom_site_fract_z
_atom_site_occupancy
Ba1 0.000 0.000 0.000 1
Ta1 0.126 0.625 0.625 1
Ta2 0.625 0.126 0.625 1
Ta3 0.625 0.625 0.126 1
Ta4 0.625 0.625 0.625 1
Tc1 0.250 0.250 0.250 1



Entry 2:
# NaNiS2, relaxed, DFT PBE-GGA
# * uncorrected energy: -15.256 eV per cell
# * N(E_F): 2.84 states/eV/f.u.
data_NaNiS2
_space_group_name_H-M_alt 'P 1'
_space_group_IT_number 1
_cell_length_a 4.452
_cell_length_b 4.452
_cell_length_c 4.452
_cell_angle_alpha 60.00
_cell_angle_beta 60.00
_cell_angle_gamma 60.00
loop_
_space_group_symop_operation_xyz
'x,y,z'
loop_
_atom_site_label
_atom_site_fract_x
_atom_site_fract_y
_atom_site_fract_z
_atom_site_occupancy
Na1 0.000 0.000 0.000 1
Ni1 0.500 0.500 0.500 1
S1 0.250 0.250 0.250 1
S2 0.750 0.750 0.750 1



Entry 3:
# HoBeZnCu, relaxed, DFT PBE-GGA
# * formation energy from the elements: -52 meV per atom
# * N(E_F): 2.51 states/eV/f.u.
data_HoBeZnCu
_space_group_name_H-M_alt 'P 1'
_space_group_IT_number 1
_cell_length_a 4.493
_cell_length_b 4.493
_cell_length_c 4.493
_cell_angle_alpha 60.00
_cell_angle_beta 60.00
_cell_angle_gamma 60.00
loop_
_space_group_symop_operation_xyz
'x,y,z'
loop_
_atom_site_label
_atom_site_fract_x
_atom_site_fract_y
_atom_site_fract_z
_atom_site_occupancy
Ho1 0.000 0.000 0.000 1
Be1 0.500 0.500 0.500 1
Zn1 0.750 0.750 0.750 1
Cu1 0.250 0.250 0.250 1



Entry 4:
# Rb3Nd2RuO6, relaxed, DFT PBE-GGA
# * uncorrected energy: -74.453 eV per cell
# * N(E_F): 7.00 states/eV/f.u.
data_Rb3Nd2RuO6
_space_group_name_H-M_alt 'P 1'
_space_group_IT_number 1
_cell_length_a 6.068
_cell_length_b 6.068
_cell_length_c 6.848
_cell_angle_alpha 98.52
_cell_angle_beta 98.52
_cell_angle_gamma 119.99
loop_
_space_group_symop_operation_xyz
'x,y,z'
loop_
_atom_site_label
_atom_site_fract_x
_atom_site_fract_y
_atom_site_fract_z
_atom_site_occupancy
Rb1 0.000 0.000 0.000 1
Rb2 0.339 0.661 0.000 1
Rb3 0.661 0.339 0.000 1
Nd1 0.165 0.835 0.500 1
Nd2 0.835 0.165 0.500 1
Ru1 0.500 0.500 0.500 1
O1 0.137 0.443 0.324 1
O2 0.244 0.244 0.684 1
O3 0.443 0.137 0.324 1
O4 0.557 0.863 0.676 1
O5 0.756 0.756 0.316 1
O6 0.863 0.557 0.676 1



Entry 5:
# Ac2CuSb3Pd4, relaxed, DFT PBE-GGA
# * uncorrected energy: -53.656 eV per cell
# * N(E_F): 5.60 states/eV/f.u.
data_Ac2CuSb3Pd4
_space_group_name_H-M_alt 'P 1'
_space_group_IT_number 1
_cell_length_a 4.666
_cell_length_b 4.666
_cell_length_c 10.534
_cell_angle_alpha 90.00
_cell_angle_beta 90.00
_cell_angle_gamma 90.00
loop_
_space_group_symop_operation_xyz
'x,y,z'
loop_
_atom_site_label
_atom_site_fract_x
_atom_site_fract_y
_atom_site_fract_z
_atom_site_occupancy
Ac1 0.000 0.500 0.250 1
Ac2 0.500 0.000 0.750 1
Cu1 0.000 0.000 0.500 1
Sb1 0.000 0.500 0.867 1
Sb2 0.500 0.000 0.133 1
Sb3 0.500 0.500 0.500 1
Pd1 0.000 0.000 0.000 1
Pd2 0.000 0.500 0.616 1
Pd3 0.500 0.000 0.384 1
Pd4 0.500 0.500 0.000 1



Entry 6:
# HfCu2Cl, relaxed, DFT PBE-GGA
# * relative energy among the computed polymorphs: 410 meV per atom
# * N(E_F): 2.18 states/eV/f.u.
data_HfCu2Cl
_space_group_name_H-M_alt 'P 1'
_space_group_IT_number 1
_cell_length_a 4.586
_cell_length_b 4.586
_cell_length_c 4.586
_cell_angle_alpha 60.00
_cell_angle_beta 60.00
_cell_angle_gamma 60.00
loop_
_space_group_symop_operation_xyz
'x,y,z'
loop_
_atom_site_label
_atom_site_fract_x
_atom_site_fract_y
_atom_site_fract_z
_atom_site_occupancy
Hf1 0.000 0.000 0.000 1
Cu1 0.250 0.250 0.250 1
Cu2 0.750 0.750 0.750 1
Cl1 0.500 0.500 0.500 1



Entry 7:
# Na2InCu2, relaxed, DFT PBE-GGA
# * formation energy from the elements: 337 meV per atom
# * relative energy among the computed polymorphs: 211 meV per atom
# * N(E_F): 1.10 states/eV/f.u.
data_Na2InCu2
_space_group_name_H-M_alt 'P 1'
_space_group_IT_number 1
_cell_length_a 8.335
_cell_length_b 8.335
_cell_length_c 2.977
_cell_angle_alpha 90.00
_cell_angle_beta 90.00
_cell_angle_gamma 90.00
loop_
_space_group_symop_operation_xyz
'x,y,z'
loop_
_atom_site_label
_atom_site_fract_x
_atom_site_fract_y
_atom_site_fract_z
_atom_site_occupancy
Na1 0.130 0.370 0.000 1
Na2 0.370 0.870 0.000 1
Na3 0.630 0.130 0.000 1
Na4 0.870 0.630 0.000 1
In1 0.000 0.000 0.000 1
In2 0.500 0.500 0.000 1
Cu1 0.169 0.669 0.500 1
Cu2 0.331 0.169 0.500 1
Cu3 0.669 0.831 0.500 1
Cu4 0.831 0.331 0.500 1